Entry 1:
LiP3S | Alexandria | PBE | relaxed; energy above the most stable polymorph in this dataset = 0.000 eV per atom; ΔE_f (raw) = 721 meV/atom
1.0
4.586 0.000 0.000
0.000 4.586 0.000
0.000 0.000 4.586
Li P S
1 3 1
Direct
0.000 0.000 0.000
0.000 0.500 0.500
0.500 0.000 0.500
0.500 0.500 0.000
0.500 0.500 0.500

---

Entry 2:
LiTa2Te | Alexandria | PBE | relaxed; ΔE_f (raw) = 272 meV/atom
1.0
-1.792 2.310 4.377
1.792 -2.310 4.377
1.792 2.310 -4.377
Li Ta Te
1 2 1
Direct
0.000 0.000 0.000
0.255 0.755 0.500
0.501 0.501 0.000
0.765 0.265 0.500

---

Entry 3:
InB2I | Alexandria | PBE | relaxed; energy above the most stable polymorph in this dataset = 0.682 eV per atom; ΔE_f (raw) = 1912 meV/atom
1.0
0.000 3.344 3.344
3.344 0.000 3.344
3.344 3.344 0.000
In B I
1 2 1
Direct
0.000 0.000 0.000
0.250 0.250 0.250
0.750 0.750 0.750
0.500 0.500 0.500

---

Entry 4:
In2Bi2Pb | Alexandria | PBE | relaxed; energy relative to the elements = 0.0913 eV per atom; energy above the most stable polymorph in this dataset = 0.065 eV per atom
1.0
-2.246 2.246 8.021
2.246 -2.246 8.021
2.246 2.246 -8.021
In Bi Pb
2 2 1
Direct
0.250 0.750 0.500
0.750 0.250 0.500
0.099 0.099 0.000
0.901 0.901 0.000
0.500 0.500 0.000

---

Question: Which formula does entry 1 have?
Answer: LiP3S